Entry A
The following is a GGA-PBE calculation of TiCrPb3 after structural relaxation, from Alexandria.

Results
- Symmetry: Pm-3m

Cell lengths 5.4009, 5.4009, 5.4009 Å; angles 90.00, 90.00, 90.00 degrees
Atoms (fractional coordinates):
1 Ti 0.0000 0.0000 0.0000
2 Cr 0.5000 0.5000 0.5000
3 Pb 0.0000 0.0000 0.5000
4 Pb 0.0000 0.5000 0.0000
5 Pb 0.5000 0.0000 0.0000

***

Entry B
The following is a GGA-PBE calculation of TiCrPb3 after structural relaxation, from Alexandria.

Results
- Symmetry: Pm-3m

Cell lengths 5.2084, 5.2084, 5.2084 Å; angles 90.00, 90.00, 90.00 degrees
Atoms (fractional coordinates):
1 Ti 0.0000 0.0000 0.0000
2 Cr 0.5000 0.5000 0.5000
3 Pb 0.0000 0.5000 0.5000
4 Pb 0.5000 0.0000 0.5000
5 Pb 0.5000 0.5000 0.0000

***

Most stable structure, least stable structure: entry A, entry B.

***

Entry A
The following is a GGA-PBE calculation of Tl2Cr2Pb after structural relaxation, from Alexandria.

Results
- Symmetry: P4/mbm

Cell lengths 8.1060, 8.1060, 3.3190 Å; angles 90.00, 90.00, 90.00 degrees
Atoms (fractional coordinates):
1 Tl 0.1999 0.3001 0.0000
2 Tl 0.3001 0.8001 0.0000
3 Tl 0.6999 0.1999 0.0000
4 Tl 0.8001 0.6999 0.0000
5 Cr 0.0815 0.5815 0.5000
6 Cr 0.4185 0.0815 0.5000
7 Cr 0.5815 0.9185 0.5000
8 Cr 0.9185 0.4185 0.5000
9 Pb 0.0000 0.0000 0.5000
10 Pb 0.5000 0.5000 0.5000

***

Entry B
The following is a GGA-PBE calculation of Tl2Cr2Pb after structural relaxation, from Alexandria.

Results
- Symmetry: I4/mmm

Cell lengths 6.3464, 6.3464, 6.3464 Å; angles 137.38, 137.38, 61.85 degrees
Atoms (fractional coordinates):
1 Tl 0.2500 0.7500 0.5000
2 Tl 0.7500 0.2500 0.5000
3 Cr 0.0810 0.0810 0.0000
4 Cr 0.9190 0.9190 0.0000
5 Pb 0.5000 0.5000 0.0000

***

Most stable structure, least stable structure: entry A, entry B.

***

Entry A
The following is a GGA-PBE calculation of V2Cr2Pb after structural relaxation, from Alexandria.

Results
- Symmetry: I4/mmm

Cell lengths 5.7592, 5.7592, 5.7592 Å; angles 139.61, 139.61, 58.45 degrees
Atoms (fractional coordinates):
1 V 0.2500 0.7500 0.5000
2 V 0.7500 0.2500 0.5000
3 Cr 0.1127 0.1127 0.0000
4 Cr 0.8873 0.8873 0.0000
5 Pb 0.5000 0.5000 0.0000

***

Entry B
The following is a GGA-PBE calculation of V2Cr2Pb after structural relaxation, from Alexandria.

Results
- Symmetry: P4/mbm

Cell lengths 7.0494, 7.0494, 3.0542 Å; angles 90.00, 90.00, 90.00 degrees
Atoms (fractional coordinates):
1 V 0.1864 0.3136 0.0000
2 V 0.3136 0.8136 0.0000
3 V 0.6864 0.1864 0.0000
4 V 0.8136 0.6864 0.0000
5 Cr 0.1009 0.6009 0.5000
6 Cr 0.3991 0.1009 0.5000
7 Cr 0.6009 0.8991 0.5000
8 Cr 0.8991 0.3991 0.5000
9 Pb 0.0000 0.0000 0.5000
10 Pb 0.5000 0.5000 0.5000

***

Most stable structure, least stable structure: entry B, entry A.

***

Entry A
The following is a GGA-PBE calculation of VCrPb3 after structural relaxation, from Alexandria.

Results
- Symmetry: Pm-3m

Cell lengths 5.2886, 5.2886, 5.2886 Å; angles 90.00, 90.00, 90.00 degrees
Atoms (fractional coordinates):
1 V 0.0000 0.0000 0.0000
2 Cr 0.5000 0.5000 0.5000
3 Pb 0.0000 0.0000 0.5000
4 Pb 0.0000 0.5000 0.0000
5 Pb 0.5000 0.0000 0.0000

***

Entry B
The following is a GGA-PBE calculation of VCrPb3 after structural relaxation, from Alexandria.

Results
- Symmetry: Pm-3m

Cell lengths 5.2070, 5.2070, 5.2070 Å; angles 90.00, 90.00, 90.00 degrees
Atoms (fractional coordinates):
1 V 0.0000 0.0000 0.0000
2 Cr 0.5000 0.5000 0.5000
3 Pb 0.0000 0.5000 0.5000
4 Pb 0.5000 0.0000 0.5000
5 Pb 0.5000 0.5000 0.0000

***

Most stable structure, least stable structure: entry A, entry B.